(1)
## HoTmRu2 (SCAN)

Data for a crystal of HoTmRu2 relaxed with PBEsol.

abc: 4.6860 4.6860 4.6860
angles: 60.00 60.00 60.00
Sites, in units of the cell vectors:
Ru1 0.2500 0.2500 0.2500
Ru2 0.7500 0.7500 0.7500
Ho1 0.5000 0.5000 0.5000
Tm1 0.0000 0.0000 0.0000

Properties
The density of states at the Fermi level is 2.533 states/eV/cell. Its space group is No. 225. As for the energy of formation: -0.503 eV per atom.


(2)
## Y4ScSi10 (SCAN)

Data for a crystal of Y4ScSi10 relaxed with PBEsol.

abc: 4.0626 4.0626 19.0097
angles: 90.00 90.00 120.00
Sites, in units of the cell vectors:
Y1 0.0000 0.0000 0.3983
Y2 0.0000 0.0000 0.8070
Y3 0.0000 0.0000 0.6017
Y4 0.0000 0.0000 0.1930
Sc1 0.0000 0.0000 0.0000
Si1 0.6667 0.3333 0.2957
Si2 0.3333 0.6667 0.7043
Si3 0.3333 0.6667 0.0910
Si4 0.6667 0.3333 0.7043
Si5 0.3333 0.6667 0.2957
Si6 0.6667 0.3333 0.9090
Si7 0.3333 0.6667 0.9090
Si8 0.6667 0.3333 0.5000
Si9 0.3333 0.6667 0.5000
Si10 0.6667 0.3333 0.0910

Properties
The calculation puts the uncorrected formation energy at -0.486 eV/atom. The density of states at the Fermi level is 7.769 states/eV/cell. Its space group is No. 191.


(3)
## Zr2Tc (SCAN)

Data for a crystal of Zr2Tc relaxed with PBEsol.

abc: 3.1678 4.5041 4.5041
angles: 120.00 90.00 90.00
Sites, in units of the cell vectors:
Zr1 0.7048 0.6667 0.3333
Zr2 0.2952 0.3333 0.6667
Tc1 0.0000 0.0000 0.0000

Properties
The density of states at the Fermi level is 1.882 states/eV/cell. Its space group is No. 164. As for the energy of formation: -0.257 eV per atom.


(4)
## Tl (SCAN)

Data for a crystal of Tl relaxed with PBEsol.

abc: 3.4895 3.4895 5.3659
angles: 90.00 90.00 120.00
Sites, in units of the cell vectors:
Tl1 0.6667 0.3333 0.2500
Tl2 0.3333 0.6667 0.7500

Properties
The density of states at the Fermi level is 0.801 states/eV/cell. Its space group is No. 194. As for the energy of formation: 0.000 eV per atom.


(5)
## Ta2TcHIr (SCAN)

Data for a crystal of Ta2TcHIr relaxed with PBEsol.

abc: 3.6441 4.2334 4.2334
angles: 90.00 90.00 90.00
Sites, in units of the cell vectors:
Ir1 0.5000 0.0000 0.0000
Ta1 0.0000 0.0000 0.5000
Ta2 0.0000 0.5000 0.0000
Tc1 0.5000 0.5000 0.5000
H1 0.0000 0.0000 0.0000

Properties
For the energy, the calculation gives -244.41 eV for the cell shown. The density of states at the Fermi level is 3.492 states/eV/cell. Its space group is No. 123.


(6)
## Sb2MoBr (SCAN)

Data for a crystal of Sb2MoBr relaxed with PBEsol.

abc: 3.1706 4.8216 6.7088
angles: 111.06 103.67 90.00
Sites, in units of the cell vectors:
Mo1 0.0000 0.5000 0.0000
Sb1 0.3133 0.3133 0.6266
Sb2 0.6867 0.6867 0.3734
Br1 0.5000 0.0000 0.0000

Properties
The calculation puts the uncorrected formation energy at 0.449 eV/atom. The density of states at the Fermi level is 3.632 states/eV/cell. Its space group is No. 71.


(7)
## ReNiAg2S (SCAN)

Data for a crystal of ReNiAg2S relaxed with PBEsol.

abc: 3.9871 4.6211 4.6211
angles: 90.00 90.00 90.00
Sites, in units of the cell vectors:
Re1 0.5000 0.5000 0.5000
Ag1 0.0000 0.0000 0.5000
Ag2 0.0000 0.5000 0.0000
Ni1 0.5000 0.0000 0.0000
S1 0.0000 0.0000 0.0000

Properties
The calculation puts the uncorrected formation energy at 1.279 eV/atom. The density of states at the Fermi level is 3.468 states/eV/cell. Its space group is No. 123.


(8)
## ZnFeRe (SCAN)

Data for a crystal of ZnFeRe relaxed with PBEsol.

abc: 2.5973 4.0745 4.0745
angles: 120.00 90.00 90.00
Sites, in units of the cell vectors:
Zn1 0.2390 0.6667 0.3333
Re1 0.6995 0.3333 0.6667
Fe1 0.0615 0.0000 0.0000

Properties
The density of states at the Fermi level is 1.745 states/eV/cell. Its space group is No. 156. As for the energy of formation: 0.327 eV per atom.


(9)
## CdReAg (SCAN)

Data for a crystal of CdReAg relaxed with PBEsol.

abc: 4.4265 4.4265 4.4265
angles: 60.00 60.00 60.00
Sites, in units of the cell vectors:
Cd1 0.5000 0.5000 0.5000
Re1 0.7500 0.7500 0.7500
Ag1 0.0000 0.0000 0.0000

Properties
The density of states at the Fermi level is 2.450 states/eV/cell. Its space group is No. 216. As for the energy of formation: 1.456 eV per atom.


(10)
## TcHRu2Pt (SCAN)

Data for a crystal of TcHRu2Pt relaxed with PBEsol.

abc: 3.8418 3.8575 3.8575
angles: 90.00 90.00 90.00
Sites, in units of the cell vectors:
Pt1 0.5000 0.5000 0.5000
Ru1 0.0000 0.5000 0.0000
Ru2 0.0000 0.0000 0.5000
Tc1 0.5000 0.0000 0.0000
H1 0.0000 0.0000 0.0000

Properties
For the energy, the calculation gives -178.28 eV for the cell shown. The density of states at the Fermi level is 4.055 states/eV/cell. Its space group is No. 123.


(11)
## Li2TiFeO4 (SCAN)

Data for a crystal of Li2TiFeO4 relaxed with PBEsol.

abc: 4.1513 4.1513 4.9113
angles: 115.00 115.00 90.00
Sites, in units of the cell vectors:
O1 0.7408 0.7408 0.4817
O2 0.5000 0.0000 0.0000
O3 0.2592 0.2592 0.5183
O4 0.0000 0.5000 0.0000
Li1 0.7500 0.2500 0.5000
Li2 0.2500 0.7500 0.5000
Fe1 0.0000 0.0000 0.0000
Ti1 0.5000 0.5000 0.0000

Properties
The calculation puts the uncorrected formation energy at -2.434 eV/atom. The density of states at the Fermi level is 1.361 states/eV/cell. Its space group is No. 139.


(12)
## AlMoPt2 (SCAN)

Data for a crystal of AlMoPt2 relaxed with PBEsol.

abc: 3.9193 3.9193 4.7275
angles: 114.49 114.49 90.00
Sites, in units of the cell vectors:
Pt1 0.7500 0.2500 0.5000
Pt2 0.0000 0.0000 0.0000
Al1 0.5000 0.5000 0.0000
Mo1 0.2500 0.7500 0.5000

Properties
The density of states at the Fermi level is 2.396 states/eV/cell. Its space group is No. 119. As for the energy of formation: -0.523 eV per atom.


(13)
## NaCaSb2N (SCAN)

Data for a crystal of NaCaSb2N relaxed with PBEsol.

abc: 4.2606 5.8971 5.8971
angles: 90.00 90.00 90.00
Sites, in units of the cell vectors:
Na1 0.5000 0.5000 0.5000
Sb1 0.0000 0.5000 0.0000
Sb2 0.0000 0.0000 0.5000
Ca1 0.0000 0.0000 0.0000
N1 0.5000 0.0000 0.0000

Properties
The calculation puts the uncorrected formation energy at 0.685 eV/atom. The density of states at the Fermi level is 3.378 states/eV/cell. Its space group is No. 123.


(14)
## CoReAg (SCAN)

Data for a crystal of CoReAg relaxed with PBEsol.

abc: 2.6901 2.6901 6.6631
angles: 90.00 90.00 120.00
Sites, in units of the cell vectors:
Re1 0.3333 0.6667 0.3605
Co1 0.6667 0.3333 0.6511
Ag1 0.0000 0.0000 0.9884

Properties
The density of states at the Fermi level is 1.738 states/eV/cell. Its space group is No. 156. As for the energy of formation: 0.401 eV per atom.


(15)
## CoSiPt2 (SCAN)

Data for a crystal of CoSiPt2 relaxed with PBEsol.

abc: 4.2365 4.2365 4.2365
angles: 60.00 60.00 60.00
Sites, in units of the cell vectors:
Si1 0.7500 0.7500 0.7500
Pt1 0.2500 0.2500 0.2500
Pt2 0.0000 0.0000 0.0000
Co1 0.5000 0.5000 0.5000

Properties
The calculation puts the uncorrected formation energy at -0.184 eV/atom. The density of states at the Fermi level is 1.939 states/eV/cell. Its space group is No. 216.


(16)
## Zr3TaSe (SCAN)

Data for a crystal of Zr3TaSe relaxed with PBEsol.

abc: 5.0516 5.0516 5.0516
angles: 90.00 90.00 90.00
Sites, in units of the cell vectors:
Zr1 0.5000 0.0000 0.0000
Zr2 0.0000 0.5000 0.0000
Zr3 0.0000 0.0000 0.5000
Se1 0.5000 0.5000 0.5000
Ta1 0.0000 0.0000 0.0000

Properties
The calculation puts the uncorrected formation energy at 0.784 eV/atom. The density of states at the Fermi level is 5.724 states/eV/cell. Its space group is No. 221.


(17)
## Re2PtCl (SCAN)

Data for a crystal of Re2PtCl relaxed with PBEsol.

abc: 2.7928 4.0808 5.3886
angles: 90.00 103.17 90.00
Sites, in units of the cell vectors:
Cl1 0.9556 0.0000 0.4594
Re1 0.6372 0.5000 0.2526
Re2 0.0088 0.0000 0.0329
Pt1 0.3983 0.5000 0.7551

Properties
The calculation puts the uncorrected formation energy at 0.658 eV/atom. The density of states at the Fermi level is 2.678 states/eV/cell. Its space group is No. 6.


(18)
## Mg3Hg4 (SCAN)

Data for a crystal of Mg3Hg4 relaxed with PBEsol.

abc: 3.7908 3.7908 10.6360
angles: 100.27 100.27 90.00
Sites, in units of the cell vectors:
Mg1 0.7084 0.7084 0.4167
Mg2 0.0000 0.0000 0.0000
Mg3 0.2916 0.2916 0.5833
Hg1 0.5707 0.5707 0.1414
Hg2 0.4293 0.4293 0.8586
Hg3 0.8508 0.8508 0.7016
Hg4 0.1492 0.1492 0.2984

Properties
The density of states at the Fermi level is 2.270 states/eV/cell. Its space group is No. 139. As for the energy of formation: -0.249 eV per atom.


(19)
## Zr3InS (SCAN)

Data for a crystal of Zr3InS relaxed with PBEsol.

abc: 4.7693 4.7693 4.7693
angles: 90.00 90.00 90.00
Sites, in units of the cell vectors:
Zr1 0.0000 0.0000 0.5000
Zr2 0.5000 0.0000 0.0000
Zr3 0.0000 0.5000 0.0000
In1 0.5000 0.5000 0.5000
S1 0.0000 0.0000 0.0000

Properties
The calculation puts the uncorrected formation energy at -0.663 eV/atom. The density of states at the Fermi level is 4.663 states/eV/cell. Its space group is No. 221.


(20)
## InAg2Os (SCAN)

Data for a crystal of InAg2Os relaxed with PBEsol.

abc: 2.8176 2.8176 9.4576
angles: 90.00 90.00 116.13
Sites, in units of the cell vectors:
Ag1 0.0000 0.0000 0.0030
Ag2 0.5000 0.5000 0.7553
Os1 0.5000 0.5000 0.2485
In1 0.0000 0.0000 0.4932

Properties
The density of states at the Fermi level is 1.670 states/eV/cell. Its space group is No. 35. As for the energy of formation: 0.505 eV per atom.


(21)
## K2FeMo (SCAN)

Data for a crystal of K2FeMo relaxed with PBEsol.

abc: 3.2630 3.2630 10.3093
angles: 90.00 90.00 90.00
Sites, in units of the cell vectors:
Fe1 0.5000 0.5000 0.6502
K1 0.5000 0.5000 0.3315
K2 0.0000 0.0000 0.9156
Mo1 0.0000 0.0000 0.6028

Properties
The density of states at the Fermi level is 2.248 states/eV/cell. Its space group is No. 99. As for the energy of formation: 0.924 eV per atom.


(22)
## Ni7Ir (SCAN)

Data for a crystal of Ni7Ir relaxed with PBEsol.

abc: 4.9778 4.9778 4.9778
angles: 60.00 60.00 60.00
Sites, in units of the cell vectors:
Ni1 0.0000 0.5000 0.5000
Ni2 0.0000 0.5000 0.0000
Ni3 0.5000 0.5000 0.5000
Ni4 0.5000 0.0000 0.0000
Ni5 0.5000 0.0000 0.5000
Ni6 0.0000 0.0000 0.5000
Ni7 0.5000 0.5000 0.0000
Ir1 0.0000 0.0000 0.0000

Properties
The density of states at the Fermi level is 8.683 states/eV/cell. Its space group is No. 225. As for the energy of formation: 0.002 eV per atom.


(23)
## Ca3Cu2Si4O14 (SCAN)

Data for a crystal of Ca3Cu2Si4O14 relaxed with PBEsol.

abc: 7.3618 9.3684 9.8635
angles: 62.36 68.09 66.86
Sites, in units of the cell vectors:
Si1 0.4067 0.4141 0.3480
Si2 0.4968 0.8048 0.8388
Si3 0.8311 0.9141 0.8480
Si4 0.8597 0.3048 0.3388
Si5 0.1403 0.6952 0.6612
Si6 0.5933 0.5859 0.6520
Si7 0.1689 0.0859 0.1520
Si8 0.5032 0.1952 0.1612
O1 0.3056 0.2229 0.0988
O2 0.4807 0.9647 0.6745
O3 0.9444 0.2859 0.4755
O4 0.4605 0.5872 0.3052
O5 0.6944 0.7771 0.9012
O6 0.9868 0.0740 0.7963
O7 0.5395 0.4128 0.6948
O8 0.7479 0.6642 0.4784
O9 0.2521 0.3358 0.5216
O10 0.1429 0.5740 0.2963
O11 0.8802 0.4647 0.1745
O12 0.6272 0.2771 0.4012
O13 0.9941 0.1264 0.3052
O14 0.5744 0.6264 0.8052
O15 0.2943 0.7859 0.9755
O16 0.3529 0.9128 0.1948
O17 0.4256 0.3736 0.1948
O18 0.5193 0.0353 0.3255
O19 0.0059 0.8736 0.6948
O20 0.1198 0.5353 0.8255
O21 0.7057 0.2141 0.0245
O22 0.8571 0.4260 0.7037
O23 0.3728 0.7229 0.5988
O24 0.1095 0.1642 0.9784
O25 0.0556 0.7141 0.5245
O26 0.8905 0.8358 0.0216
O27 0.6471 0.0872 0.8052
O28 0.0132 0.9260 0.2037
Ca1 0.6553 0.7500 0.2500
Ca2 0.8312 0.4404 0.9550
Ca3 0.7735 0.9404 0.4550
Ca4 0.1688 0.5596 0.0450
Ca5 0.3447 0.2500 0.7500
Ca6 0.2265 0.0596 0.5450
Cu1 0.0000 0.0000 0.0000
Cu2 0.0000 0.5000 0.5000
Cu3 0.7657 0.2500 0.7500
Cu4 0.2343 0.7500 0.2500

Properties
The calculation puts the uncorrected formation energy at -2.644 eV/atom. Its space group is No. 15.


(24)
## FeAgOs (SCAN)

Data for a crystal of FeAgOs relaxed with PBEsol.

abc: 2.6343 2.6343 6.9641
angles: 96.16 96.16 115.62
Sites, in units of the cell vectors:
Fe1 0.6729 0.6729 0.3459
Os1 0.3218 0.3218 0.6436
Ag1 0.0052 0.0052 0.0105

Properties
The density of states at the Fermi level is 2.242 states/eV/cell. Its space group is No. 42. As for the energy of formation: 0.420 eV per atom.